No. 1
Density functional theory data (GGA-PBEsol) for a relaxed structure of CaCl3. Values from VASP.

raw formation energy	-5.3	eV per formula unit
energy	-3.37	eV/atom
V	113.89	Å³/cell

The structure in Quantum ESPRESSO input format:
```
&SYSTEM
  ibrav = 0, nat = 4, ntyp = 2
/
ATOMIC_SPECIES
Ca 40.08 Ca.upf
Cl 35.45 Cl.upf
CELL_PARAMETERS angstrom
3.797 0.000 0.000
-1.898 3.288 0.000
0.000 0.000 9.124
ATOMIC_POSITIONS angstrom
Ca 0.000 0.000 0.000
Cl 0.000 0.000 4.562
Cl 0.000 2.192 7.514
Cl 0.000 2.192 1.610
```


No. 2
Density functional theory data (GGA-PBEsol) for a relaxed structure of CaCl5. Values from VASP.

raw formation energy	-5.0	eV per formula unit
energy	-2.85	eV/atom
V	148.81	Å³/cell

The structure in Quantum ESPRESSO input format:
```
&SYSTEM
  ibrav = 0, nat = 6, ntyp = 2
/
ATOMIC_SPECIES
Ca 40.08 Ca.upf
Cl 35.45 Cl.upf
CELL_PARAMETERS angstrom
-2.056 -2.933 -1.483
3.859 -2.241 4.149
-4.597 0.833 4.726
ATOMIC_POSITIONS angstrom
Ca 0.148 -0.194 0.179
Cl -0.053 -2.743 0.432
Cl 2.153 -2.820 2.592
Cl -3.160 -1.268 1.821
Cl -1.174 -1.057 3.717
Cl -1.289 -3.718 4.074
```


No. 3
Density functional theory data (GGA-PBEsol) for a relaxed structure of CaCl3. Values from VASP.

raw formation energy	-6.2	eV per formula unit
energy	-3.59	eV/atom
V	100.34	Å³/cell

The structure in Quantum ESPRESSO input format:
```
&SYSTEM
  ibrav = 0, nat = 4, ntyp = 2
/
ATOMIC_SPECIES
Ca 40.08 Ca.upf
Cl 35.45 Cl.upf
CELL_PARAMETERS angstrom
-2.234 -2.780 2.291
2.540 -3.922 -2.282
4.435 -1.812 2.126
ATOMIC_POSITIONS angstrom
Ca 0.000 0.000 0.000
Cl 1.966 -3.266 1.876
Cl 1.270 -1.961 -1.141
Cl 2.775 -5.249 0.259
```


No. 4
Density functional theory data (GGA-PBEsol) for a relaxed structure of CaCl. Values from VASP.

raw formation energy	-2.9	eV per formula unit
energy	-3.54	eV/atom
V	55.87	Å³/cell

The structure in Quantum ESPRESSO input format:
```
&SYSTEM
  ibrav = 0, nat = 2, ntyp = 2
/
ATOMIC_SPECIES
Ca 40.08 Ca.upf
Cl 35.45 Cl.upf
CELL_PARAMETERS angstrom
3.596 0.000 0.000
-1.798 3.585 0.000
0.000 0.000 4.333
ATOMIC_POSITIONS angstrom
Ca 0.000 0.000 0.000
Cl 1.798 0.000 2.167
```


No. 5
Density functional theory data (GGA-PBEsol) for a relaxed structure of CaCl3. Values from VASP.

raw formation energy	-5.7	eV per formula unit
energy	-3.45	eV/atom
V	84.31	Å³/cell

The structure in Quantum ESPRESSO input format:
```
&SYSTEM
  ibrav = 0, nat = 4, ntyp = 2
/
ATOMIC_SPECIES
Ca 40.08 Ca.upf
Cl 35.45 Cl.upf
CELL_PARAMETERS angstrom
-0.815 2.842 2.793
-3.974 -0.366 -0.786
2.021 -4.855 2.567
ATOMIC_POSITIONS angstrom
Ca 0.000 0.000 0.000
Cl -0.594 -0.388 3.182
Cl -2.394 1.238 1.004
Cl -2.173 -1.992 1.393
```


No. 6
Density functional theory data (GGA-PBEsol) for a relaxed structure of Ca2Cl. Values from VASP.

raw formation energy	-3.2	eV per formula unit
energy	-3.16	eV/atom
energy relative to the lowest polymorph listed for this composition	0.00	eV/f.u.
V	88.06	Å³/cell

The structure in Quantum ESPRESSO input format:
```
&SYSTEM
  ibrav = 0, nat = 3, ntyp = 2
/
ATOMIC_SPECIES
Ca 40.08 Ca.upf
Cl 35.45 Cl.upf
CELL_PARAMETERS angstrom
-2.026 2.828 -1.590
0.733 -3.181 -1.993
-5.866 -2.854 2.397
ATOMIC_POSITIONS angstrom
Ca -4.370 -3.214 -0.149
Ca -2.788 0.007 -1.037
Cl 0.000 0.000 0.000
```


No. 7
Density functional theory data (GGA-PBEsol) for a relaxed structure of CaCl. Values from VASP.

raw formation energy	-3.4	eV per formula unit
energy	-3.76	eV/atom
V	126.16	Å³/cell

The structure in Quantum ESPRESSO input format:
```
&SYSTEM
  ibrav = 0, nat = 4, ntyp = 2
/
ATOMIC_SPECIES
Ca 40.08 Ca.upf
Cl 35.45 Cl.upf
CELL_PARAMETERS angstrom
-3.268 1.455 -1.765
2.186 -2.785 -1.836
-5.043 -6.554 3.936
ATOMIC_POSITIONS angstrom
Ca -0.498 -2.497 -1.137
Ca -5.627 -5.387 1.472
Cl -3.019 -5.773 0.831
Cl -3.106 -2.111 -0.496
```


No. 8
Density functional theory data (GGA-PBEsol) for a relaxed structure of Ca2Cl. Values from VASP.

raw formation energy	-3.1	eV per formula unit
energy	-3.13	eV/atom
energy relative to the lowest polymorph listed for this composition	0.08	eV/f.u.
V	192.50	Å³/cell

The structure in Quantum ESPRESSO input format:
```
&SYSTEM
  ibrav = 0, nat = 6, ntyp = 2
/
ATOMIC_SPECIES
Ca 40.08 Ca.upf
Cl 35.45 Cl.upf
CELL_PARAMETERS angstrom
3.720 0.000 0.000
1.860 7.068 -0.727
1.860 1.127 7.206
ATOMIC_POSITIONS angstrom
Ca 5.579 6.648 4.156
Ca 5.579 2.634 6.056
Ca 1.860 5.560 0.424
Ca 1.860 1.547 2.323
Cl 3.720 4.758 5.344
Cl 3.720 3.436 1.136
```


No. 9
Density functional theory data (GGA-PBEsol) for a relaxed structure of CaCo4Cl. Values from VASP.

raw formation energy	2.0	eV per formula unit
energy	-5.51	eV/atom
V	85.27	Å³/cell

The structure in Quantum ESPRESSO input format:
```
&SYSTEM
  ibrav = 0, nat = 6, ntyp = 3
/
ATOMIC_SPECIES
Ca 40.08 Ca.upf
Cl 35.45 Cl.upf
Co 58.93 Co.upf
CELL_PARAMETERS angstrom
4.940 0.000 0.000
2.470 4.279 0.000
2.470 1.426 4.034
ATOMIC_POSITIONS angstrom
Ca 7.411 4.279 3.025
Cl 0.000 0.000 0.000
Co 3.706 2.140 1.513
Co 4.940 2.852 3.528
Co 6.175 2.140 1.513
Co 4.940 4.277 1.513
```


No. 10
Density functional theory data (GGA-PBEsol) for a relaxed structure of Ca2CoCl. Values from VASP.

raw formation energy	-2.2	eV per formula unit
energy	-4.05	eV/atom
V	89.96	Å³/cell

The structure in Quantum ESPRESSO input format:
```
&SYSTEM
  ibrav = 0, nat = 4, ntyp = 3
/
ATOMIC_SPECIES
Ca 40.08 Ca.upf
Co 58.93 Co.upf
Cl 35.45 Cl.upf
CELL_PARAMETERS angstrom
3.695 0.000 0.000
1.848 3.200 0.000
1.848 1.067 7.607
ATOMIC_POSITIONS angstrom
Ca 1.848 1.067 1.738
Ca 5.543 3.200 5.869
Co 0.000 0.000 0.000
Cl 3.695 2.133 3.804
```


No. 11
Density functional theory data (GGA-PBEsol) for a relaxed structure of RbCaCoCl2. Values from VASP.

raw formation energy	0.4	eV per formula unit
energy	-2.90	eV/atom
V	174.09	Å³/cell

The structure in Quantum ESPRESSO input format:
```
&SYSTEM
  ibrav = 0, nat = 5, ntyp = 4
/
ATOMIC_SPECIES
Ca 40.08 Ca.upf
Co 58.93 Co.upf
Rb 85.47 Rb.upf
Cl 35.45 Cl.upf
CELL_PARAMETERS angstrom
-4.142 -2.973 1.971
3.602 -2.839 3.289
-0.765 3.791 4.110
ATOMIC_POSITIONS angstrom
Ca -0.652 -1.011 4.685
Co -2.071 -1.486 0.985
Rb 0.000 0.000 0.000
Cl -0.383 1.895 2.055
Cl 1.801 -1.419 1.644
```


No. 12
Density functional theory data (GGA-PBEsol) for a relaxed structure of CaCrPCl2. Values from VASP.

raw formation energy	-0.3	eV per formula unit
energy	-4.50	eV/atom
V	142.86	Å³/cell

The structure in Quantum ESPRESSO input format:
```
&SYSTEM
  ibrav = 0, nat = 5, ntyp = 4
/
ATOMIC_SPECIES
Cr 52.00 Cr.upf
Ca 40.08 Ca.upf
P 30.97 P.upf
Cl 35.45 Cl.upf
CELL_PARAMETERS angstrom
5.009 0.000 0.000
0.000 5.009 0.000
0.000 0.000 5.693
ATOMIC_POSITIONS angstrom
Cr 2.505 2.505 2.847
Ca 0.000 0.000 0.000
P 0.000 0.000 2.847
Cl 0.000 2.505 0.000
Cl 2.505 0.000 0.000
```


No. 13
Density functional theory data (GGA-PBEsol) for a relaxed structure of RbCa2CrCl. Values from VASP.

raw formation energy	4.1	eV per formula unit
energy	-2.69	eV/atom
V	241.29	Å³/cell

The structure in Quantum ESPRESSO input format:
```
&SYSTEM
  ibrav = 0, nat = 5, ntyp = 4
/
ATOMIC_SPECIES
Cr 52.00 Cr.upf
Ca 40.08 Ca.upf
Rb 85.47 Rb.upf
Cl 35.45 Cl.upf
CELL_PARAMETERS angstrom
-3.589 1.984 -3.575
-4.991 -1.691 4.072
0.374 5.966 2.936
ATOMIC_POSITIONS angstrom
Cr -4.103 3.130 1.716
Ca 0.187 2.983 1.468
Ca -2.495 -0.845 2.036
Rb 0.000 0.000 0.000
Cl -1.795 0.992 -1.787
```


No. 14
Density functional theory data (GGA-PBEsol) for a relaxed structure of CsCaCl3. Values from VASP.

raw formation energy	-11.4	eV per formula unit
energy	-4.10	eV/atom
V	153.49	Å³/cell

The structure in Quantum ESPRESSO input format:
```
&SYSTEM
  ibrav = 0, nat = 5, ntyp = 3
/
ATOMIC_SPECIES
Cs 132.91 Cs.upf
Ca 40.08 Ca.upf
Cl 35.45 Cl.upf
CELL_PARAMETERS angstrom
5.353 0.000 0.000
0.000 5.355 0.000
0.000 0.000 5.355
ATOMIC_POSITIONS angstrom
Cs 0.060 2.677 2.677
Ca 2.747 0.000 0.000
Cl 2.744 0.000 2.677
Cl 0.070 0.000 0.000
Cl 2.744 2.677 0.000
```


No. 15
Density functional theory data (GGA-PBEsol) for a relaxed structure of Cs2NaCaCl6. Values from VASP.

raw formation energy	-18.0	eV per formula unit
energy	-3.55	eV/atom
V	305.65	Å³/cell

The structure in Quantum ESPRESSO input format:
```
&SYSTEM
  ibrav = 0, nat = 10, ntyp = 4
/
ATOMIC_SPECIES
Cs 132.91 Cs.upf
Na 22.99 Na.upf
Ca 40.08 Ca.upf
Cl 35.45 Cl.upf
CELL_PARAMETERS angstrom
7.561 0.000 0.000
3.781 6.548 0.000
3.781 2.183 6.174
ATOMIC_POSITIONS angstrom
Cs 3.781 2.183 1.543
Cs 11.342 6.548 4.630
Na 7.561 4.365 3.087
Ca 0.000 0.000 0.000
Cl 7.561 6.558 4.637
Cl 9.460 3.269 4.637
Cl 5.662 5.462 1.536
Cl 5.662 3.269 4.637
Cl 9.460 5.462 1.536
Cl 7.561 2.173 1.536
```


No. 16
Density functional theory data (GGA-PBEsol) for a relaxed structure of CsCaPCl2. Values from VASP.

raw formation energy	-6.1	eV per formula unit
energy	-3.79	eV/atom
V	165.15	Å³/cell

The structure in Quantum ESPRESSO input format:
```
&SYSTEM
  ibrav = 0, nat = 5, ntyp = 4
/
ATOMIC_SPECIES
Cs 132.91 Cs.upf
P 30.97 P.upf
Ca 40.08 Ca.upf
Cl 35.45 Cl.upf
CELL_PARAMETERS angstrom
5.377 0.000 0.000
0.000 5.377 0.000
0.000 0.000 5.712
ATOMIC_POSITIONS angstrom
Cs 2.688 2.688 2.856
P 0.000 0.000 2.856
Ca 0.000 0.000 0.000
Cl 0.000 2.688 0.000
Cl 2.688 0.000 0.000
```


No. 17
Density functional theory data (GGA-PBEsol) for a relaxed structure of CaCuCl. Values from VASP.

raw formation energy	-1.2	eV per formula unit
energy	-3.23	eV/atom
V	72.24	Å³/cell

The structure in Quantum ESPRESSO input format:
```
&SYSTEM
  ibrav = 0, nat = 3, ntyp = 3
/
ATOMIC_SPECIES
Ca 40.08 Ca.upf
Cu 63.55 Cu.upf
Cl 35.45 Cl.upf
CELL_PARAMETERS angstrom
4.675 0.000 0.000
2.337 4.049 0.000
2.337 1.350 3.817
ATOMIC_POSITIONS angstrom
Ca 4.675 2.699 1.909
Cu 0.000 0.000 0.000
Cl 7.012 4.049 2.863
```


No. 18
Density functional theory data (GGA-PBEsol) for a relaxed structure of Ca3CuCl. Values from VASP.

raw formation energy	-1.2	eV per formula unit
energy	-2.80	eV/atom
V	144.11	Å³/cell

The structure in Quantum ESPRESSO input format:
```
&SYSTEM
  ibrav = 0, nat = 5, ntyp = 3
/
ATOMIC_SPECIES
Ca 40.08 Ca.upf
Cu 63.55 Cu.upf
Cl 35.45 Cl.upf
CELL_PARAMETERS angstrom
5.243 0.000 0.000
0.000 5.243 0.000
0.000 0.000 5.243
ATOMIC_POSITIONS angstrom
Ca 0.000 2.621 0.000
Ca 0.000 0.000 2.621
Ca 2.621 0.000 0.000
Cu 2.621 2.621 2.621
Cl 0.000 0.000 0.000
```


No. 19
Density functional theory data (GGA-PBEsol) for a relaxed structure of CaCu2Cl. Values from VASP.

raw formation energy	-0.6	eV per formula unit
energy	-3.35	eV/atom
V	79.53	Å³/cell

The structure in Quantum ESPRESSO input format:
```
&SYSTEM
  ibrav = 0, nat = 4, ntyp = 3
/
ATOMIC_SPECIES
Ca 40.08 Ca.upf
Cl 35.45 Cl.upf
Cu 63.55 Cu.upf
CELL_PARAMETERS angstrom
-3.942 -0.299 0.056
0.047 -1.334 -3.721
0.386 -4.775 1.716
ATOMIC_POSITIONS angstrom
Ca -1.947 -0.816 -1.833
Cl -1.754 -3.203 -0.975
Cu 0.291 -3.601 1.294
Cu 0.095 -1.173 0.422
```


No. 20
Density functional theory data (GGA-PBEsol) for a relaxed structure of Ca3Cu2Cl2O4. Values from VASP.

raw formation energy	-22.0	eV per formula unit
energy	-5.64	eV/atom
V	153.56	Å³/cell

The structure in Quantum ESPRESSO input format:
```
&SYSTEM
  ibrav = 0, nat = 11, ntyp = 4
/
ATOMIC_SPECIES
Ca 40.08 Ca.upf
Cu 63.55 Cu.upf
Cl 35.45 Cl.upf
O 16.00 O.upf
CELL_PARAMETERS angstrom
-0.145 -3.610 -1.250
2.415 0.882 -2.829
7.000 -1.101 8.217
ATOMIC_POSITIONS angstrom
Ca 0.000 0.000 0.000
Ca 6.854 -3.096 2.303
Ca 2.417 -0.732 1.836
Cu 2.287 -1.713 -1.164
Cu 6.983 -2.116 5.303
Cl 4.435 -2.363 0.466
Cl 4.836 -1.465 3.673
O 1.155 -2.177 0.307
O 2.435 0.069 -0.483
O 6.836 -3.898 4.621
O 8.116 -1.652 3.832
```